(1)
DFT (PBE) results for a relaxed structure of SrAcAl2.

The value obtained for the raw total energy is -3.493 eV/atom.

Structure (CIF):
```
data_SrAcAl2
_symmetry_space_group_name_H-M 'C m c m'
_symmetry_Int_Tables_number 63
_symmetry_space_group_name_Hall '-C 2c 2'
_cell_length_a 4.4766
_cell_length_b 16.7714
_cell_length_c 7.6590
_cell_angle_alpha 90.00
_cell_angle_beta 90.00
_cell_angle_gamma 90.00
loop_
_atom_site_label
_atom_site_type_symbol
_atom_site_fract_x
_atom_site_fract_y
_atom_site_fract_z
Sr1 Sr 0.0000 0.1107 0.2500
Ac1 Ac 0.0000 0.3855 0.2500
Al1 Al 0.0000 0.2480 0.5819
```


(2)
DFT (PBE) results for a relaxed structure of K2DyP2S6.

The value obtained for the raw total energy is -4.749 eV/atom.

Structure (CIF):
```
data_K2DyP2S6
_symmetry_space_group_name_H-M 'C 1 2/m 1'
_symmetry_Int_Tables_number 12
_cell_length_a 11.6549
_cell_length_b 6.8900
_cell_length_c 7.9949
_cell_angle_alpha 90.00
_cell_angle_beta 118.14
_cell_angle_gamma 90.00
loop_
_symmetry_equiv_pos_as_xyz
'x,y,z'
'-x,-y,-z'
'-x,y,-z'
'x,-y,z'
'x+1/2,y+1/2,z'
'-x+1/2,-y+1/2,-z'
'-x+1/2,y+1/2,-z'
'x+1/2,-y+1/2,z'
loop_
_atom_site_label
_atom_site_type_symbol
_atom_site_fract_x
_atom_site_fract_y
_atom_site_fract_z
K1 K 0.2081 0.0000 0.1904
Dy1 Dy 0.0000 0.0000 0.5000
P1 P 0.0467 0.5000 0.1783
S1 S 0.0472 0.2547 0.7947
S2 S 0.2441 0.5000 0.3820
```


(3)
DFT (PBE) results for a relaxed structure of MgCd4Ga.

The energy above the most stable polymorph in this dataset is 103 meV/atom. The value obtained for the raw total energy is -1.308 eV/atom.

Structure (CIF):
```
data_MgCd4Ga
_symmetry_space_group_name_H-M 'F -4 3 m'
_symmetry_Int_Tables_number 216
_symmetry_space_group_name_Hall 'F -4 2 3'
_cell_length_a 8.2353
_cell_length_b 8.2353
_cell_length_c 8.2353
_cell_angle_alpha 90.00
_cell_angle_beta 90.00
_cell_angle_gamma 90.00
loop_
_atom_site_label
_atom_site_type_symbol
_atom_site_fract_x
_atom_site_fract_y
_atom_site_fract_z
Mg1 Mg 0.0000 0.0000 0.0000
Cd1 Cd 0.1251 0.1251 0.6251
Ga1 Ga 0.2500 0.2500 0.2500
```


(4)
DFT (PBE) results for a relaxed structure of Mg2TlSb.

The energy above the most stable polymorph in this dataset is 43 meV/atom. The value obtained for the raw total energy is -2.539 eV/atom.

Structure (CIF):
```
data_Mg2TlSb
_symmetry_space_group_name_H-M 'P 4/m m m'
_symmetry_Int_Tables_number 123
_symmetry_space_group_name_Hall '-P 4 2'
_cell_length_a 4.9069
_cell_length_b 4.9069
_cell_length_c 4.1373
_cell_angle_alpha 90.00
_cell_angle_beta 90.00
_cell_angle_gamma 90.00
loop_
_atom_site_label
_atom_site_type_symbol
_atom_site_fract_x
_atom_site_fract_y
_atom_site_fract_z
Mg1 Mg 0.0000 0.5000 0.0000
Tl1 Tl 0.0000 0.0000 0.5000
Sb1 Sb 0.5000 0.5000 0.5000
```


Q: What is the formula in the fourth record?
A: Mg2TlSb


Q: Which value of raw total energy does entry 4 give?
A: -2.539 eV/atom